{
  "formula": "KLiAg2Pb",
  "functional": "PBE",
  "state": "optimized geometry",
  "lattice_angstrom": [[5.455, 0.000, 0.000], [0.000, 5.455, 0.000], [0.000, 0.000, 6.361]],
  "species": ["K", "Li", "Ag", "Ag", "Pb"],
  "fractional_positions": [[0.000, 0.000, 0.000], [0.500, 0.500, 0.000], [0.000, 0.500, 0.500], [0.500, 0.000, 0.500], [0.000, 0.000, 0.500]],
  "sg": "P4/mmm (123)"
}

***

{
  "formula": "KLi2AgPt",
  "functional": "PBE",
  "state": "optimized geometry",
  "lattice_angstrom": [[4.862, 0.000, 0.000], [0.000, 4.862, 0.000], [0.000, 0.000, 5.333]],
  "species": ["K", "Li", "Li", "Ag", "Pt"],
  "fractional_positions": [[0.000, 0.000, 0.000], [0.000, 0.500, 0.500], [0.500, 0.000, 0.500], [0.500, 0.500, 0.000], [0.500, 0.500, 0.500]],
  "sg": "P4/mmm (123)"
}

***

| no. | magnetization (μB/atom) | total DFT energy (no corrections) (eV/cell) |
| --- | --- | --- |
| 1 | 0.00 | -10.42 |
| 2 | 0.00 | -14.34 |